Entry 1:
DFT (PBE-GGA) results for a relaxed structure of CsPuH2F8.

```
12
Lattice="5.762 0.000 0.000 -2.881 4.990 0.000 0.000 0.000 8.124" Properties=species:S:1:pos:R:3 pbc="T T T"
Cs 0.000 0.000 0.000
Pu 0.000 0.000 4.062
H 0.000 3.327 1.853
H 2.881 1.663 6.271
F 0.000 1.629 5.335
F -1.470 4.176 5.335
F 1.411 0.814 2.789
F 0.000 3.327 0.910
F 2.881 1.663 7.214
F 1.470 4.176 5.335
F 4.351 0.814 2.789
F 2.881 3.361 2.789
```

Results
Uncorrected energy, eV per atom: -5.6372
Space-group type: P-3m1



Entry 2:
DFT (PBE-GGA) results for a relaxed structure of Ac5MgTl2.

```
16
Lattice="-4.720 4.720 6.952 4.720 -4.720 6.952 4.720 4.720 -6.952" Properties=species:S:1:pos:R:3 pbc="T T T"
Ac 0.000 0.000 0.000
Ac 6.160 1.441 -2.061
Ac 1.441 3.279 -2.061
Ac 6.160 1.441 2.061
Ac 1.441 3.279 2.061
Ac 0.000 0.000 6.952
Ac 3.279 1.441 4.891
Ac -1.441 3.279 4.891
Ac 3.279 1.441 9.013
Ac -1.441 3.279 9.013
Mg 0.000 0.000 3.476
Mg 0.000 0.000 10.429
Tl 3.334 1.385 0.000
Tl 3.334 -1.385 6.952
Tl 1.385 6.105 0.000
Tl 1.385 3.334 6.952
```

Results
ΔE_f, eV/atom: -0.167
Space-group type: I4/mcm



Entry 3:
DFT (PBE-GGA) results for a relaxed structure of NaSm4Tl4.

```
18
Lattice="9.146 0.000 0.000 0.000 9.146 0.000 0.000 0.000 6.575" Properties=species:S:1:pos:R:3 pbc="T T T"
Na 2.287 2.287 1.644
Na 6.860 6.860 4.931
Sm 0.089 6.071 0.879
Sm 1.498 9.057 4.167
Sm 3.075 4.662 4.167
Sm 4.484 7.648 0.879
Sm 4.662 1.498 5.696
Sm 6.071 4.484 2.408
Sm 7.648 0.089 2.408
Sm 9.057 3.075 5.696
Tl 0.294 6.051 4.052
Tl 1.477 8.853 0.764
Tl 3.096 4.867 0.764
Tl 4.280 7.669 4.052
Tl 4.867 1.477 2.523
Tl 6.051 4.280 5.811
Tl 7.669 0.294 5.811
Tl 8.853 3.096 2.523
```

Results
ΔE_f, eV/atom: -0.113
Space-group type: P4_2/n



Entry 4:
DFT (PBE-GGA) results for a relaxed structure of SrWIN2.

```
5
Lattice="4.782 0.000 0.000 0.000 4.782 0.000 0.000 0.000 6.401" Properties=species:S:1:pos:R:3 pbc="T T T"
Sr 0.000 0.000 0.000
W 2.391 2.391 3.201
I 0.000 0.000 3.201
N 0.000 2.391 0.000
N 2.391 0.000 0.000
```

Results
ΔE to the lowest computed polymorph, meV/atom: 2132
Space-group type: P4/mmm



Entry 5:
DFT (PBE-GGA) results for a relaxed structure of YSc2Au.

```
8
Lattice="6.157 0.000 0.000 0.000 10.659 0.000 -1.599 0.000 2.891" Properties=species:S:1:pos:R:3 pbc="T T T"
Y 0.000 0.000 0.000
Y 3.078 5.329 0.000
Sc 0.740 2.665 1.445
Sc 0.740 7.994 1.445
Sc 3.818 2.665 1.445
Sc 3.818 7.994 1.445
Au 0.000 5.329 0.000
Au 3.078 0.000 0.000
```

Results
ΔE_f, eV/atom: -0.165
ΔE to the lowest computed polymorph, meV/atom: 256
Space-group type: C2/m



Entry 6:
DFT (PBE-GGA) results for a relaxed structure of CePaZn.

```
6
Lattice="5.882 0.000 0.000 0.000 3.076 0.000 0.000 0.000 7.958" Properties=species:S:1:pos:R:3 pbc="T T T"
Ce 1.471 0.000 1.515
Ce 4.412 0.000 6.443
Pa 0.000 1.538 3.979
Pa 2.941 1.538 3.979
Zn 1.471 1.538 6.684
Zn 4.412 1.538 1.274
```

Results
ΔE_f, eV/atom: 0.140
ΔE to the lowest computed polymorph, meV/atom: 138
Space-group type: Pmma



| no. | volume (A^3/atom) | M_tot (μB per atom) |
| --- | --- | --- |
| 1 | 19.464 | 0.25 |
| 2 | 38.714 | 0.00 |
| 3 | 30.557 | 0.00 |
| 4 | 29.277 | 0.20 |
| 5 | 23.711 | 0.00 |
| 6 | 23.996 | 0.09 |